--- a ---
{
  "formula": "Pr4Sm5Sc2",
  "functional": "PBE",
  "state": "relaxed",
  "lattice_angstrom": [[-1.1013, 0.2782, 3.3015], [2.4570, -9.1678, 1.5922], [9.5672, 7.7359, 0.6933]],
  "species": ["Sm", "Sm", "Sm", "Sm", "Sm", "Pr", "Pr", "Pr", "Pr", "Sc", "Sc"],
  "frac_coords": [[0.1589, 0.3718, 0.3178], [0.8411, 0.6282, 0.6822], [0.1589, 0.9460, 0.3178], [0.5000, 0.0000, 0.0000], [0.8411, 0.0540, 0.6822], [0.4021, 0.4021, 0.8042], [0.0000, 0.7075, 0.0000], [0.0000, 0.2925, 0.0000], [0.5979, 0.5979, 0.1958], [0.2694, 0.2694, 0.5389], [0.7306, 0.7306, 0.4611]]
}

=====

--- b ---
{
  "formula": "Pr4Sm5Sc2",
  "functional": "PBE",
  "state": "relaxed",
  "lattice_angstrom": [[3.4412, 0.0000, -0.8395], [-0.4099, 8.5334, -1.6804], [1.0972, 1.4481, 11.9708]],
  "species": ["Pr", "Pr", "Pr", "Pr", "Sc", "Sc", "Sm", "Sm", "Sm", "Sm", "Sm"],
  "frac_coords": [[0.9612, 0.6516, 0.9224], [0.2744, 0.1767, 0.5489], [0.7256, 0.8233, 0.4511], [0.0388, 0.3484, 0.0776], [0.5875, 0.6981, 0.1749], [0.4125, 0.3019, 0.8251], [0.5000, 0.0000, 0.0000], [0.1291, 0.0381, 0.2581], [0.8182, 0.5233, 0.6365], [0.1818, 0.4767, 0.3635], [0.8709, 0.9619, 0.7419]]
}

=====

Relative energy of each structure, in eV/atom: a 0.167; b 0.000.